# SrMgAsPb2

SrMgAsPb2 after structural relaxation (PBE-GGA, the Alexandria database).

Results
Fermi-level density of states in states/eV/cell: 3.41
Total DFT energy (no corrections) in eV/cell: -15.520
ΔE_f in eV per atom: -0.035
V in Å³ per atom: 34.4

```
SrMgAsPb2
1.0
-2.229 -1.282 5.315
-1.994 -4.129 -1.833
4.920 -2.974 1.346
Pb Sr As Mg
2 1 1 1
Direct
0.000 0.000 0.500
0.500 0.000 0.000
0.500 0.500 0.500
0.000 0.000 0.000
0.000 0.500 0.000
```


# Sc2Al2CuNi5

Sc2Al2CuNi5 after structural relaxation (PBE-GGA, the Alexandria database).

Results
Fermi-level density of states in states/eV/cell: 12.00
Total DFT energy (no corrections) in eV/cell: -112.739
ΔE_f in eV per atom: -0.322
V in Å³ per atom: 14.0

```
Sc2Al2CuNi5
1.0
-2.172 -1.293 -2.210
6.593 -5.368 -3.340
-2.246 -6.500 6.013
Sc Al Cu Ni
4 4 2 10
Direct
0.000 0.676 0.176
0.000 0.324 0.824
0.000 0.176 0.324
0.000 0.824 0.676
0.000 0.123 0.623
0.000 0.877 0.377
0.000 0.623 0.877
0.000 0.377 0.123
0.000 0.000 0.000
0.000 0.500 0.500
0.500 0.199 0.060
0.500 0.801 0.940
0.500 0.060 0.801
0.500 0.699 0.440
0.500 0.940 0.199
0.500 0.301 0.560
0.500 0.560 0.699
0.500 0.440 0.301
0.500 0.500 0.000
0.500 0.000 0.500
```


# SbAsOs2

SbAsOs2 after structural relaxation (PBE-GGA, the Alexandria database).

Results
Fermi-level density of states in states/eV/cell: 4.03
Total DFT energy (no corrections) in eV/cell: -28.511
Formation energy from raw total energies in eV/atom: 0.68
V in Å³ per atom: 19.1
Energy above the most stable polymorph in this dataset in meV/atom: 382.2

```
SbAsOs2
1.0
2.945 -0.005 0.000
-1.507 2.530 0.000
0.000 0.000 10.265
Sb As Os
1 1 2
Direct
0.000 0.000 0.455
0.500 0.500 0.809
0.000 0.000 0.011
0.500 0.500 0.225
```


# Tm2IrS

Tm2IrS after structural relaxation (PBE-GGA, the Alexandria database).

Results
Fermi-level density of states in states/eV/cell: 1.85
Total DFT energy (no corrections) in eV/cell: -27.146
Formation energy from raw total energies in eV/atom: -1.30
V in Å³ per atom: 21.9

```
Tm2IrS
1.0
3.824 0.000 0.000
1.912 3.311 0.000
1.912 1.104 6.908
S Ir Tm
1 1 2
Direct
0.000 0.000 0.000
0.500 0.500 0.500
0.753 0.753 0.741
0.247 0.247 0.259
```


# VTeN

VTeN after structural relaxation (PBE-GGA, the Alexandria database).

Results
Fermi-level density of states in states/eV/cell: 4.44
Total DFT energy (no corrections) in eV/cell: -41.990
Formation energy from raw total energies in eV/atom: -0.14
V in Å³ per atom: 25.0

```
VTeN
1.0
3.867 0.000 0.000
0.000 3.153 0.000
0.000 1.576 12.316
Te N V
2 2 2
Direct
0.750 0.676 0.648
0.250 0.324 0.352
0.250 0.068 0.864
0.750 0.932 0.136
0.250 0.600 0.800
0.750 0.400 0.200
```


# Na2ZrIrN

Na2ZrIrN after structural relaxation (PBE-GGA, the Alexandria database).

Results
Fermi-level density of states in states/eV/cell: 5.60
Total DFT energy (no corrections) in eV/cell: -18.965
Formation energy from raw total energies in eV/atom: 1.88
V in Å³ per atom: 39.1

```
Na2ZrIrN
1.0
6.431 0.000 0.000
0.000 4.733 0.000
0.000 0.000 6.431
Na Ir Zr N
2 1 1 1
Direct
0.000 0.000 0.500
0.500 0.000 0.000
0.000 0.500 0.000
0.000 0.000 0.000
0.500 0.500 0.500
```


# AlRuW2

AlRuW2 after structural relaxation (PBE-GGA, the Alexandria database).

Results
Fermi-level density of states in states/eV/cell: 3.68
Total DFT energy (no corrections) in eV/cell: -38.395
ΔE_f in eV per atom: 0.132
V in Å³ per atom: 15.4

```
AlRuW2
1.0
-1.962 -0.735 -1.760
2.312 -1.377 -0.493
-2.586 -6.318 5.521
Ru Al W
1 1 2
Direct
0.500 0.500 0.750
0.500 0.500 0.250
0.000 0.000 0.998
0.000 0.000 0.502
```


# CsLaI3

CsLaI3 after structural relaxation (PBE-GGA, the Alexandria database).

Results
Fermi-level density of states in states/eV/cell: 4.83
Total DFT energy (no corrections) in eV/cell: -17.257
Formation energy from raw total energies in eV/atom: -1.37
V in Å³ per atom: 50.7
Energy above the most stable polymorph in this dataset in meV/atom: 90.5

```
CsLaI3
1.0
-6.053 -1.789 0.444
1.842 -5.937 1.183
0.083 1.261 6.201
Cs I La
1 3 1
Direct
0.500 0.500 0.500
0.000 0.500 0.000
0.000 0.000 0.500
0.500 0.000 0.000
0.000 0.000 0.000
```